VASP calculation (PBE-GGA) on a geometry-optimized BaZr3Bi structure.

Computed properties:
- Theoretical density: 6775 kg/m³
- Formation enthalpy at 0 K: 7.8 eV/f.u.
- Energy above the lowest structure with this stoichiometry: 0.781 eV/atom

Geometry as CIF:
```
data_BaZr3Bi
_symmetry_space_group_name_H-M 'P m -3 m'
_symmetry_Int_Tables_number 221
_symmetry_space_group_name_Hall '-P 4 2 3'
_cell_length_a 5.336
_cell_length_b 5.336
_cell_length_c 5.336
_cell_angle_alpha 90.00
_cell_angle_beta 90.00
_cell_angle_gamma 90.00
loop_
_atom_site_label
_atom_site_fract_x
_atom_site_fract_y
_atom_site_fract_z
Ba1 0.000 0.000 0.000
Zr1 0.000 0.000 0.500
Bi1 0.500 0.500 0.500
```